Density functional theory data (PBE-GGA) for crystalline Dy2BiSe at its relaxed geometry.

CIF file:
```
data_Dy2BiSe
_cell_length_a 4.2748
_cell_length_b 4.2748
_cell_length_c 21.0047
_cell_angle_alpha 90.00
_cell_angle_beta 90.00
_cell_angle_gamma 120.00
_symmetry_space_group_name_H-M 'R -3 m'
_symmetry_Int_Tables_number 166
_symmetry_space_group_name_Hall '-R 3 2"'
loop_
_atom_site_label
_atom_site_fract_x
_atom_site_fract_y
_atom_site_fract_z
Dy1 0.0000 0.0000 0.2428
Bi1 0.0000 0.0000 0.0000
Se1 0.0000 0.0000 0.5000
```

The uncorrected energy is -5.423 eV per atom. For the uncorrected formation energy, the calculation gives -1.28 eV/atom. Its total magnetization is 0.00 μB per formula unit. The energy relative to the lowest polymorph listed for this composition comes out at 0.0000 eV per atom.

=====

Density functional theory data (PBE-GGA) for crystalline Dy5Bi4Se at its relaxed geometry.

CIF file:
```
data_Dy5Bi4Se
_cell_length_a 9.831
_cell_length_b 9.831
_cell_length_c 6.247
_cell_angle_alpha 90.00
_cell_angle_beta 90.00
_cell_angle_gamma 90.00
_symmetry_space_group_name_H-M 'I 4/m'
_symmetry_Int_Tables_number 87
_symmetry_space_group_name_Hall '-I 4'
loop_
_atom_site_label
_atom_site_fract_x
_atom_site_fract_y
_atom_site_fract_z
Dy1 0.000 0.000 0.000
Dy2 0.100 0.711 0.500
Bi1 0.095 0.698 0.000
Se1 0.000 0.000 0.500
```

The uncorrected energy is -5.229 eV per atom. For the uncorrected formation energy, the calculation gives -1.03 eV/atom. Its total magnetization is 0.00 μB per formula unit. The energy relative to the lowest polymorph listed for this composition comes out at 0.0000 eV per atom.